# Y2PuFeO8

A relaxed Y2PuFeO8 crystal (PBE+U, Alexandria via LeMat-Bulk). Values from VASP.

Results
**Volume**: 14.026 Å³ per atom
**Final energy**: -8.630 eV/atom

Geometry as Quantum ESPRESSO input:
```
&SYSTEM
  ibrav = 0, nat = 12, ntyp = 4
/
ATOMIC_SPECIES
Y 88.91 Y.upf
Pu 244.00 Pu.upf
Fe 55.84 Fe.upf
O 16.00 O.upf
ATOMIC_POSITIONS angstrom
Y 0.0000 0.0000 1.6194
Y 0.0000 0.0000 5.1830
Pu 3.4199 0.0000 3.4012
Fe 3.4199 0.0000 0.0000
O 1.4291 0.0000 3.4012
O 1.5031 0.0000 0.0000
O 3.4199 1.3029 1.8268
O 3.4199 1.3029 4.9757
O 3.4199 -1.3029 1.8268
O 3.4199 -1.3029 4.9757
O 5.3366 0.0000 0.0000
O 5.4106 0.0000 3.4012
CELL_PARAMETERS angstrom
3.4199 -3.6175 0.0000
3.4199 3.6175 0.0000
0.0000 0.0000 6.8025
```